! Cr3Cd3NiO8 | Alexandria via LeMat-Bulk | PBE+U | optimized geometry; values from VASP
! size of the total moment = 0.79 μB per atom
! symmetry = R-3m (166)
! calculated volume = 11.92 A^3/atom
! DFT total energy = -5.826 eV per atom
! density = 6.314 g cm⁻³
&SYSTEM
  ibrav = 0, nat = 15, ntyp = 4
/
ATOMIC_SPECIES
Cr 52.00 Cr.upf
Cd 112.41 Cd.upf
Ni 58.69 Ni.upf
O 16.00 O.upf
ATOMIC_POSITIONS angstrom
Cr -1.537 -0.887 5.462
Cr -1.537 0.887 10.924
Cr 0.000 1.775 5.462
Cd -3.074 0.000 8.193
Cd -1.537 0.887 2.731
Cd 1.537 0.887 2.731
Ni 0.000 0.000 0.000
O 0.000 -1.765 6.558
O -1.529 0.883 6.558
O -1.529 -0.883 9.828
O 0.000 0.000 4.403
O 0.000 0.000 11.983
O 1.529 0.883 6.558
O 1.529 -0.883 9.828
O 0.000 1.765 9.828
CELL_PARAMETERS angstrom
3.074 1.775 5.462
-3.074 1.775 5.462
0.000 -3.550 5.462